[1]
The following is a GGA-PBE calculation of crystalline Tl3H at its relaxed geometry, from Alexandria.

Output
The calculation puts the energy above the most stable polymorph in this dataset at 218 meV per atom.

```
data_Tl3H
_cell_length_a 7.424
_cell_length_b 7.424
_cell_length_c 7.424
_cell_angle_alpha 90.00
_cell_angle_beta 90.00
_cell_angle_gamma 90.00
_space_group_name_H-M_alt 'F m -3 m'
_space_group_IT_number 225
_space_group_name_Hall '-F 4 2 3'
loop_
_atom_site_label
_atom_site_type_symbol
_atom_site_fract_x
_atom_site_fract_y
_atom_site_fract_z
Tl1 Tl 0.000 0.000 0.000
Tl2 Tl 0.250 0.250 0.250
H1 H 0.000 0.000 0.500
```

[2]
The following is a GGA-PBE calculation of crystalline RbSnMo3 at its relaxed geometry, from Alexandria.

Output
The calculation puts the energy above the most stable polymorph in this dataset at 849 meV per atom. The calculation puts the formation enthalpy at 0 K at 3.080 eV/atom.

```
data_RbSnMo3
_cell_length_a 4.755
_cell_length_b 4.755
_cell_length_c 4.755
_cell_angle_alpha 90.00
_cell_angle_beta 90.00
_cell_angle_gamma 90.00
_space_group_name_H-M_alt 'P m -3 m'
_space_group_IT_number 221
_space_group_name_Hall '-P 4 2 3'
loop_
_atom_site_label
_atom_site_type_symbol
_atom_site_fract_x
_atom_site_fract_y
_atom_site_fract_z
Rb1 Rb 0.000 0.000 0.000
Sn1 Sn 0.500 0.500 0.500
Mo1 Mo 0.000 0.000 0.500
```

[3]
The following is a GGA-PBE calculation of crystalline PaTcSnRu at its relaxed geometry, from Alexandria.

Output
The calculation puts the energy above the most stable polymorph in this dataset at 0 meV per atom. The calculation puts the formation enthalpy at 0 K at -0.412 eV/atom.

```
data_PaTcSnRu
_cell_length_a 3.607
_cell_length_b 4.512
_cell_length_c 4.555
_cell_angle_alpha 90.00
_cell_angle_beta 90.00
_cell_angle_gamma 90.00
_space_group_name_H-M_alt 'P m m m'
_space_group_IT_number 47
_space_group_name_Hall '-P 2 2'
loop_
_atom_site_label
_atom_site_type_symbol
_atom_site_fract_x
_atom_site_fract_y
_atom_site_fract_z
Pa1 Pa 0.000 0.000 0.000
Tc1 Tc 0.500 0.500 0.000
Sn1 Sn 0.000 0.500 0.500
Ru1 Ru 0.500 0.000 0.500
```

[4]
The following is a GGA-PBE calculation of crystalline Ti2BePtCl at its relaxed geometry, from Alexandria.

Output
As for the uncorrected formation energy: 0.94 eV per atom.

```
data_Ti2BePtCl
_cell_length_a 4.862
_cell_length_b 4.862
_cell_length_c 4.890
_cell_angle_alpha 90.00
_cell_angle_beta 90.00
_cell_angle_gamma 90.00
_space_group_name_H-M_alt 'P 4/m m m'
_space_group_IT_number 123
_space_group_name_Hall '-P 4 2'
loop_
_atom_site_label
_atom_site_type_symbol
_atom_site_fract_x
_atom_site_fract_y
_atom_site_fract_z
Ti1 Ti 0.000 0.500 0.000
Be1 Be 0.000 0.000 0.500
Pt1 Pt 0.500 0.500 0.000
Cl1 Cl 0.500 0.500 0.500
```